[1]
VASP calculation (GGA-PBE) on SrFe2AgHg after structural relaxation. Values from VASP.

Output
Symmetry: P4/mmm (123)
Energy, eV/atom: -3.555
D(E_F), states/eV per cell: 8.434
Calculated volume, Å³/f.u.: 132.5

Structure (Quantum ESPRESSO input):
```
&SYSTEM
  ibrav = 0, nat = 5, ntyp = 4
/
ATOMIC_SPECIES
Sr 87.62 Sr.upf
Fe 55.84 Fe.upf
Ag 107.87 Ag.upf
Hg 200.59 Hg.upf
ATOMIC_POSITIONS angstrom
Sr 0.000 0.000 0.000
Fe 0.000 2.503 2.644
Fe 2.503 0.000 2.644
Ag 2.503 2.503 0.000
Hg 2.503 2.503 2.644
CELL_PARAMETERS angstrom
5.005 0.000 0.000
0.000 5.005 0.000
0.000 0.000 5.289
```

***

[2]
VASP calculation (GGA-PBE) on ScCu2Tc after structural relaxation. Values from VASP.

Output
Excess energy over the best structure of this formula in the dataset, meV per atom: 123.8
Symmetry: P4mm (99)
Energy, eV/atom: -6.130
D(E_F), states/eV per cell: 3.468
Calculated volume, Å³/f.u.: 59.1

Structure (Quantum ESPRESSO input):
```
&SYSTEM
  ibrav = 0, nat = 4, ntyp = 3
/
ATOMIC_SPECIES
Sc 44.96 Sc.upf
Cu 63.55 Cu.upf
Tc 98.00 Tc.upf
ATOMIC_POSITIONS angstrom
Sc 0.000 0.000 0.000
Cu 0.000 0.000 4.017
Cu 1.382 1.382 5.658
Tc 1.382 1.382 2.201
CELL_PARAMETERS angstrom
2.764 0.000 0.000
0.000 2.764 0.000
0.000 0.000 7.733
```

***

[3]
VASP calculation (GGA-PBE) on NdPuSiPd after structural relaxation. Values from VASP.

Output
Raw formation energy, eV per atom: -0.428
Symmetry: F-43m (216)
Energy, eV/atom: -7.857
D(E_F), states/eV per cell: 42.214
Calculated volume, Å³/f.u.: 92.6

Structure (Quantum ESPRESSO input):
```
&SYSTEM
  ibrav = 0, nat = 16, ntyp = 4
/
ATOMIC_SPECIES
Nd 144.24 Nd.upf
Pu 244.00 Pu.upf
Si 28.09 Si.upf
Pd 106.42 Pd.upf
ATOMIC_POSITIONS angstrom
Nd 0.000 0.000 0.000
Nd 0.000 3.591 3.591
Nd 3.591 0.000 3.591
Nd 3.591 3.591 0.000
Pu 0.000 0.000 3.591
Pu 0.000 3.591 0.000
Pu 3.591 0.000 0.000
Pu 3.591 3.591 3.591
Si 1.795 1.795 1.795
Si 1.795 5.386 5.386
Si 5.386 1.795 5.386
Si 5.386 5.386 1.795
Pd 1.795 1.795 5.386
Pd 1.795 5.386 1.795
Pd 5.386 1.795 1.795
Pd 5.386 5.386 5.386
CELL_PARAMETERS angstrom
7.182 0.000 0.000
0.000 7.182 0.000
0.000 0.000 7.182
```

***

[4]
VASP calculation (GGA-PBE) on Li2ZnTc after structural relaxation. Values from VASP.

Output
Symmetry: F-43m (216)
Energy, eV/atom: -3.569
D(E_F), states/eV per cell: 9.827
Calculated volume, Å³/f.u.: 57.1

Structure (Quantum ESPRESSO input):
```
&SYSTEM
  ibrav = 0, nat = 16, ntyp = 3
/
ATOMIC_SPECIES
Li 6.94 Li.upf
Zn 65.41 Zn.upf
Tc 98.00 Tc.upf
ATOMIC_POSITIONS angstrom
Li 0.000 0.000 0.000
Li 0.000 3.057 3.057
Li 1.528 1.528 1.528
Li 1.528 4.585 4.585
Li 3.057 0.000 3.057
Li 3.057 3.057 0.000
Li 4.585 1.528 4.585
Li 4.585 4.585 1.528
Zn 0.000 0.000 3.057
Zn 0.000 3.057 0.000
Zn 3.057 0.000 0.000
Zn 3.057 3.057 3.057
Tc 1.528 1.528 4.585
Tc 1.528 4.585 1.528
Tc 4.585 1.528 1.528
Tc 4.585 4.585 4.585
CELL_PARAMETERS angstrom
6.114 0.000 0.000
0.000 6.114 0.000
0.000 0.000 6.114
```

***

[5]
VASP calculation (GGA-PBE) on GeTe2N2 after structural relaxation. Values from VASP.

Output
Excess energy over the best structure of this formula in the dataset, meV per atom: 0.0
Raw formation energy, eV per atom: 1.316
Symmetry: P4/mmm (123)
Energy, eV/atom: -4.195
D(E_F), states/eV per cell: 1.339
Calculated volume, Å³/f.u.: 100.3

Structure (Quantum ESPRESSO input):
```
&SYSTEM
  ibrav = 0, nat = 5, ntyp = 3
/
ATOMIC_SPECIES
Ge 72.64 Ge.upf
Te 127.60 Te.upf
N 14.01 N.upf
ATOMIC_POSITIONS angstrom
Ge 0.000 0.000 0.000
Te 0.000 0.000 2.990
Te 2.048 2.048 2.990
N 0.000 2.048 0.000
N 2.048 0.000 0.000
CELL_PARAMETERS angstrom
4.096 0.000 0.000
0.000 4.096 0.000
0.000 0.000 5.981
```

***

[6]
VASP calculation (GGA-PBE) on PbAu after structural relaxation. Values from VASP.

Output
Symmetry: P4/nmm (129)
Energy, eV/atom: -3.513
D(E_F), states/eV per cell: 2.032
Calculated volume, Å³/f.u.: 49.2

Structure (Quantum ESPRESSO input):
```
&SYSTEM
  ibrav = 0, nat = 4, ntyp = 2
/
ATOMIC_SPECIES
Pb 207.20 Pb.upf
Au 196.97 Au.upf
ATOMIC_POSITIONS angstrom
Pb 0.877 0.877 1.390
Pb 2.632 2.632 6.593
Au 0.877 0.877 4.748
Au 2.632 2.632 3.235
CELL_PARAMETERS angstrom
3.509 0.000 0.000
0.000 3.509 0.000
0.000 0.000 7.983
```